# 1
This record from Alexandria describes a geometry-optimized La3HgN structure. The functional is PBE-GGA.

abc: 25.5959 6.6114 10.1180
angles: 90.00 161.63 90.00
With the nearest neighbours (Å) after each atom.
Positions (direct):
N1 0.5280 0.7503 0.6552  4 La 2.39-2.64
N2 0.4720 0.2497 0.3448  4 La 2.39-2.64
N3 0.9720 0.2503 0.8448  4 La 2.39-2.64
N4 0.0280 0.7497 0.1552  4 La 2.39-2.64
Hg1 0.9815 0.1706 0.3629  1 Hg 2.95, 3 La 3.25-3.30
Hg2 0.0185 0.8294 0.6371  1 Hg 2.95, 3 La 3.25-3.30
Hg3 0.5185 0.6706 0.1371  1 Hg 2.95, 3 La 3.25-3.30
Hg4 0.4815 0.3294 0.8629  1 Hg 2.95, 3 La 3.25-3.30
La1 0.2929 0.9203 0.9465  3 N 2.63-2.88
La2 0.7071 0.0797 0.0535  3 N 2.63-2.88
La3 0.2071 0.4203 0.5535  3 N 2.63-2.88
La4 0.7929 0.5797 0.4465  3 N 2.63-2.88
La5 0.3486 0.4099 0.2402  2 N 2.42-2.68
La6 0.6514 0.5901 0.7598  2 N 2.42-2.68
La7 0.1514 0.9099 0.2598  2 N 2.42-2.68
La8 0.8486 0.0901 0.7402  2 N 2.42-2.68
La9 0.4205 0.8680 0.6035  1 N 2.39
La10 0.5795 0.1320 0.3965  1 N 2.39
La11 0.0795 0.3680 0.8965  1 N 2.39
La12 0.9205 0.6320 0.1035  1 N 2.39

Results
Energy (eV/cell): -107.7
Crystal system: monoclinic

=====

# 2
This record from Alexandria describes a geometry-optimized CaNbFe2 structure. The functional is PBE-GGA.

abc: 7.0908 7.0908 5.8037
angles: 52.35 52.35 90.00
With the nearest neighbours (Å) after each atom.
Positions (direct):
Nb1 0.0000 0.0000 0.0000  4 Fe 2.43
Nb2 0.7500 0.2500 0.5000  4 Fe 2.43
Ca1 0.5000 0.5000 0.0000  4 Fe 2.81, 2 Nb 2.92
Ca2 0.2500 0.7500 0.5000  4 Fe 2.81, 2 Nb 2.92
Fe1 0.6653 0.1250 0.2500  2 Nb 2.43
Fe2 0.0847 0.6250 0.2500  2 Nb 2.43
Fe3 0.3750 0.3347 0.7500  2 Nb 2.43
Fe4 0.8750 0.9153 0.7500  2 Nb 2.43

Results
Crystal system: tetragonal
Excess energy over the best structure of this formula in the dataset (kJ/mol of formula units): 108